NiSe2I, relaxed, DFT GGA-PBE; raw formation energy = 0.506 eV per atom; polymorph energy (0 for the lowest one) = 2.588 eV per formula unit; crystal system = tetragonal; N(E_F) = 3.3 states/eV/f.u.; V = 23.1 A^3/atom
1.0
-3.493 1.410 1.588
-1.798 -3.590 -0.767
1.528 -1.831 4.988
Ni Se I
1 2 1
Cartesian
0.764 -0.916 2.494
-1.881 -2.006 2.904
0.000 0.000 0.000
-2.646 -1.090 0.410

NiSe2I, relaxed, DFT GGA-PBE; raw formation energy = 0.117 eV per atom; polymorph energy (0 for the lowest one) = 1.034 eV per formula unit; crystal system = trigonal; N(E_F) = 3.8 states/eV/f.u.; V = 25.4 A^3/atom
1.0
2.648 0.000 5.572
-1.324 2.293 5.572
-1.324 -2.293 5.572
Se Ni I
2 1 1
Cartesian
0.000 0.000 9.013
0.000 0.000 4.339
0.000 0.000 6.683
0.000 0.000 0.875

Ni2Se3I, relaxed, DFT GGA-PBE; raw formation energy = -0.187 eV per atom; crystal system = monoclinic; N(E_F) = 4.4 states/eV/f.u.; V = 22.2 A^3/atom
1.0
7.317 0.058 0.293
-3.608 6.249 0.000
0.215 0.124 5.816
Ni Se I
4 6 2
Cartesian
1.855 3.154 0.147
-1.804 3.125 0.000
0.000 0.000 0.000
3.874 0.153 5.962
0.274 2.333 4.771
-1.451 5.320 4.771
5.375 1.112 1.338
1.805 1.042 1.185
2.120 5.390 4.924
3.651 4.099 1.338
3.839 2.216 3.935
0.086 4.215 2.174

NiSe2I, relaxed, DFT GGA-PBE; raw formation energy = -0.113 eV per atom; polymorph energy (0 for the lowest one) = 0.111 eV per formula unit; crystal system = trigonal; N(E_F) = 1.9 states/eV/f.u.; V = 24.3 A^3/atom
1.0
-0.950 2.061 2.803
-2.532 -1.362 -2.177
-0.515 -7.027 4.994
I Se Ni
1 2 1
Cartesian
-2.244 -3.483 1.801
-1.547 -0.031 1.819
-2.447 -6.252 3.769
-0.513 -7.007 4.979

NiSe2I2, relaxed, DFT GGA-PBE; raw formation energy = 0.248 eV per atom; polymorph energy (0 for the lowest one) = 1.235 eV per formula unit; crystal system = tetragonal; N(E_F) = 4.9 states/eV/f.u.; V = 26.1 A^3/atom
1.0
6.728 0.000 0.000
0.000 6.728 0.000
0.000 0.000 5.765
I Se Ni
4 4 2
Cartesian
5.500 2.136 2.883
1.228 4.592 2.883
4.592 5.500 2.883
2.136 1.228 2.883
2.159 1.205 0.000
4.569 5.523 0.000
5.523 2.159 0.000
1.205 4.569 0.000
0.000 0.000 0.000
3.364 3.364 0.000

NiSe2I, relaxed, DFT GGA-PBE; raw formation energy = 0.846 eV per atom; polymorph energy (0 for the lowest one) = 3.950 eV per formula unit; crystal system = tetragonal; N(E_F) = 4.5 states/eV/f.u.; V = 21.2 A^3/atom
1.0
-2.430 -5.310 4.023
3.207 -4.685 -4.248
3.162 -4.825 1.790
Se I Ni
4 2 2
Cartesian
-1.021 -5.154 1.955
0.194 -2.499 -0.056
1.798 -4.842 -2.181
0.583 -7.497 -0.169
3.379 -7.254 -1.286
0.560 -7.567 2.850
2.164 -9.909 0.726
1.775 -4.912 0.839

NiSe2I, relaxed, DFT GGA-PBE; raw formation energy = 0.045 eV per atom; polymorph energy (0 for the lowest one) = 0.745 eV per formula unit; crystal system = monoclinic; N(E_F) = 2.2 states/eV/f.u.; V = 23.5 A^3/atom
1.0
12.551 0.000 0.658
3.323 4.258 -1.581
-3.323 4.258 1.581
Ni Se I
2 4 2
Cartesian
9.577 3.195 0.445
3.302 1.064 0.116
11.693 5.867 0.188
5.418 6.908 -0.141
7.785 4.778 0.546
1.510 7.997 0.217
2.375 5.324 0.555
8.650 7.451 0.884

Ni2SeI, relaxed, DFT GGA-PBE; raw formation energy = 0.548 eV per atom; polymorph energy (0 for the lowest one) = 2.485 eV per formula unit; crystal system = cubic; N(E_F) = 4.1 states/eV/f.u.; V = 17.0 A^3/atom
1.0
1.396 -3.602 -2.463
1.205 -3.886 2.106
-2.664 -3.712 -0.343
Ni Se I
2 1 1
Cartesian
-0.047 -8.400 -0.525
-0.016 -2.800 -0.175
0.000 0.000 0.000
-0.031 -5.600 -0.350

NiSe2I, relaxed, DFT GGA-PBE; raw formation energy = 0.298 eV per atom; polymorph energy (0 for the lowest one) = 1.759 eV per formula unit; crystal system = trigonal; N(E_F) = 4.1 states/eV/f.u.; V = 21.8 A^3/atom
1.0
-4.718 0.098 6.165
-1.515 -1.057 7.541
-2.107 2.531 7.031
Se I Ni
2 1 1
Cartesian
-5.604 1.056 13.934
-0.803 0.151 1.996
-4.477 0.844 11.133
-7.889 1.487 19.617

Ni3Se3I, relaxed, DFT GGA-PBE; raw formation energy = -0.076 eV per atom; crystal system = hexagonal; N(E_F) = 4.9 states/eV/f.u.; V = 22.7 A^3/atom
1.0
-2.779 -1.367 -3.822
4.968 4.681 -5.287
1.938 -8.270 1.549
Ni Se I
6 6 2
Cartesian
1.145 -0.152 -2.361
3.819 2.319 -5.189
-0.698 -2.856 -3.219
0.308 -7.275 -2.371
4.826 -2.099 -4.341
2.982 -4.804 -5.199
2.430 1.642 -7.103
0.686 -2.168 -1.306
3.441 -2.787 -6.254
-0.249 -0.838 -4.268
1.698 -6.598 -0.457
4.377 -4.117 -3.292
0.864 -4.978 -3.596
3.263 0.023 -3.964

NiSe2I, relaxed, DFT GGA-PBE; raw formation energy = -0.118 eV per atom; polymorph energy (0 for the lowest one) = 0.095 eV per formula unit; crystal system = monoclinic; N(E_F) = 1.9 states/eV/f.u.; V = 23.0 A^3/atom
1.0
3.621 -0.059 0.023
-1.776 8.181 -0.278
-1.812 0.510 3.084
Ni I Se
1 1 2
Cartesian
0.752 6.997 1.616
0.728 2.682 0.208
-1.039 8.363 2.455
-1.078 5.693 0.754

NiSe2I, relaxed, DFT GGA-PBE; raw formation energy = -0.048 eV per atom; polymorph energy (0 for the lowest one) = 0.374 eV per formula unit; crystal system = monoclinic; N(E_F) = 3.0 states/eV/f.u.; V = 28.3 A^3/atom
1.0
-2.903 -5.673 2.600
2.667 -5.241 -5.887
6.399 -3.801 -3.720
Se I Ni
4 2 2
Cartesian
0.685 -3.601 -0.698
0.548 -7.749 -0.791
5.477 -11.114 -6.309
5.614 -6.966 -6.216
1.966 -5.393 -3.732
4.197 -9.322 -3.274
3.263 -10.972 -5.345
2.899 -3.744 -1.662